LiPmPa4N8: optimized geometry, PBE.

It has space group R3m (No. 160, hexagonal axes), with a = 7.0961 Å, b = 7.0961 Å, c = 15.6277 Å, α = 90.00°, β = 90.00° and γ = 120.00°. The asymmetric unit holds Li at (0.0000, 0.0000, 0.0000), Pm at (0.0000, 0.0000, 0.3860), Pa at (0.0000, 0.0000, 0.6087), Pa at (0.1670, 0.3341, 0.8389), N at (0.0000, 0.0000, 0.2391), N at (0.0000, 0.0000, 0.7576), N at (0.0117, 0.5058, 0.7815) and N at (0.1776, 0.3552, 0.5870).

***

LiPmPa2N5: optimized geometry, PBE.

It has space group Cmc2_1 (No. 36), with a = 3.569 Å, b = 13.173 Å, c = 10.380 Å, α = 90.00°, β = 90.00° and γ = 90.00°. The asymmetric unit holds Li at (0.000, 0.006, 0.000), Pm at (0.000, 0.362, 0.879), Pa at (0.000, 0.322, 0.565), Pa at (0.000, 0.393, 0.218), N at (0.000, 0.006, 0.800), N at (0.000, 0.156, 0.559), N at (0.000, 0.175, 0.925), N at (0.000, 0.212, 0.211) and N at (0.000, 0.490, 0.573).

***

LiPmPaN3: optimized geometry, PBE.

It has space group P2_1/m (No. 11), with a = 6.885 Å, b = 3.490 Å, c = 7.367 Å, α = 90.00°, β = 101.33° and γ = 90.00°. The asymmetric unit holds Li at (0.086, 0.250, 0.071), Pm at (0.271, 0.750, 0.814), Pa at (0.312, 0.750, 0.334), N at (0.004, 0.250, 0.804), N at (0.349, 0.250, 0.561) and N at (0.367, 0.250, 0.142).

***

LiPmPa2N4: optimized geometry, PBE.

It has space group Cmcm (No. 63), with a = 3.554 Å, b = 11.477 Å, c = 11.303 Å, α = 90.00°, β = 90.00° and γ = 90.00°. The asymmetric unit holds Li at (0.000, 0.165, 0.250), Pm at (0.000, 0.101, 0.750), Pa at (0.000, 0.371, 0.558), N at (0.000, 0.000, 0.000), N at (0.000, 0.263, 0.109) and N at (0.000, 0.442, 0.750).

***

Asked for total moment across the records above, the calculation gives 0.0; 1.0; 0.0; 0.0 μB/f.u. in order.
Asked for raw total energy across the records above, the calculation gives -9.374; -8.638; -8.130; -8.748 eV per atom in order.